Record 1
A relaxed structure of Ca4AlZn. Source: Alexandria via LeMat-Bulk, functional GGA-PBE.

Output
Calculated total energy (eV per formula unit): -14.0
Calculated formation energy (eV/f.u.): -1.0
E above lowest polymorph (eV/f.u.): 0.00

Cell lengths 3.6917, 3.6917, 13.5167 Å; angles 90.00, 90.00, 90.00 degrees
Fractional positions:
Ca  0.0000  0.0000  0.1335
Ca  0.0000  0.0000  0.8665
Ca  0.5000  0.5000  0.3602
Ca  0.5000  0.5000  0.6398
Al  0.0000  0.0000  0.5000
Zn  0.5000  0.5000  0.0000

Record 2
A relaxed structure of Al4Ga3Ag2. Source: Alexandria via LeMat-Bulk, functional GGA-PBE.

Output
Calculated total energy (eV per formula unit): -29.7
Calculated formation energy (eV/f.u.): 0.1
E above lowest polymorph (eV/f.u.): 0.00

Cell lengths 6.6127, 6.6127, 8.6040 Å; angles 102.98, 102.98, 25.15 degrees
Fractional positions:
Al  0.0007  0.0007  0.1741
Al  0.3313  0.3313  0.6115
Al  0.6687  0.6687  0.3885
Al  0.9993  0.9993  0.8259
Ga  0.0000  0.0000  0.5000
Ga  0.3377  0.3377  0.9478
Ga  0.6623  0.6623  0.0522
Ag  0.3296  0.3296  0.2810
Ag  0.6704  0.6704  0.7190

Record 3
A relaxed structure of CsVTe3. Source: Alexandria via LeMat-Bulk, functional GGA-PBE.

Output
Calculated total energy (eV per formula unit): -20.9
E_form (uncorrected) (meV per atom): -300
E above lowest polymorph (eV/f.u.): 1.22

Cell lengths 5.4769, 5.4769, 5.4769 Å; angles 90.00, 90.00, 90.00 degrees
Fractional positions:
Cs  0.0000  0.0000  0.0000
V  0.5000  0.5000  0.5000
Te  0.0000  0.5000  0.5000
Te  0.5000  0.0000  0.5000
Te  0.5000  0.5000  0.0000

Record 4
A relaxed structure of RbLaNb. Source: Alexandria via LeMat-Bulk, functional GGA-PBE.

Output
Calculated total energy (eV per formula unit): -13.4
Calculated formation energy (eV/f.u.): 2.5
E above lowest polymorph (eV/f.u.): 0.00

Cell lengths 3.3357, 3.3378, 9.4776 Å; angles 82.53, 83.13, 75.45 degrees
Fractional positions:
Rb  0.0000  0.0000  0.0000
La  0.1055  0.1322  0.4279
Nb  0.5389  0.5575  0.6595

Record 5
A relaxed structure of Ba4Pa3BeN8. Source: Alexandria via LeMat-Bulk, functional GGA-PBE.

Output
Calculated total energy (eV per formula unit): -120.8
E_form (uncorrected) (meV per atom): -894

Cell lengths 7.2408, 7.2408, 7.5709 Å; angles 117.97, 117.97, 58.61 degrees
Fractional positions:
Ba  0.0000  0.0000  0.0000
Ba  0.0000  0.5000  0.0000
Ba  0.5000  0.0000  0.0000
Ba  0.5000  0.5000  0.0000
Pa  0.0000  0.0000  0.5000
Pa  0.0000  0.5000  0.5000
Pa  0.5000  0.0000  0.5000
Be  0.5000  0.5000  0.5000
N  0.2161  0.7274  0.6757
N  0.2255  0.2255  0.6801
N  0.2507  0.2507  0.3085
N  0.2726  0.7839  0.3243
N  0.7274  0.2161  0.6757
N  0.7493  0.7493  0.6915
N  0.7745  0.7745  0.3199
N  0.7839  0.2726  0.3243

Record 6
A relaxed structure of La5Tb2SmTh. Source: Alexandria via LeMat-Bulk, functional GGA-PBE.

Output
Calculated total energy (eV per formula unit): -44.9
Calculated formation energy (eV/f.u.): 1.2

Cell lengths 11.3074, 11.3074, 10.6762 Å; angles 90.00, 90.00, 151.69 degrees
Fractional positions:
La  0.0001  0.9999  0.0000
La  0.9999  0.0001  0.5000
La  0.1276  0.8724  0.7504
La  0.2232  0.7768  0.4429
La  0.2238  0.7762  0.0588
La  0.4974  0.5026  0.2501
La  0.5026  0.4974  0.7501
La  0.7762  0.2238  0.5588
La  0.7768  0.2232  0.9429
La  0.8724  0.1276  0.2504
Tb  0.3873  0.6127  0.5081
Tb  0.3878  0.6122  0.9921
Tb  0.6122  0.3878  0.4921
Tb  0.6127  0.3873  0.0081
Sm  0.1019  0.8981  0.2500
Sm  0.8981  0.1019  0.7500
Th  0.2861  0.7139  0.7507
Th  0.7139  0.2861  0.2507

Copy entry 4 word for word.
A relaxed structure of RbLaNb. Source: Alexandria via LeMat-Bulk, functional GGA-PBE.

Output
Calculated total energy (eV per formula unit): -13.4
Calculated formation energy (eV/f.u.): 2.5
E above lowest polymorph (eV/f.u.): 0.00

Cell lengths 3.3357, 3.3378, 9.4776 Å; angles 82.53, 83.13, 75.45 degrees
Fractional positions:
Rb  0.0000  0.0000  0.0000
La  0.1055  0.1322  0.4279
Nb  0.5389  0.5575  0.6595

Please write out number 2 again, unchanged.
A relaxed structure of Al4Ga3Ag2. Source: Alexandria via LeMat-Bulk, functional GGA-PBE.

Output
Calculated total energy (eV per formula unit): -29.7
Calculated formation energy (eV/f.u.): 0.1
E above lowest polymorph (eV/f.u.): 0.00

Cell lengths 6.6127, 6.6127, 8.6040 Å; angles 102.98, 102.98, 25.15 degrees
Fractional positions:
Al  0.0007  0.0007  0.1741
Al  0.3313  0.3313  0.6115
Al  0.6687  0.6687  0.3885
Al  0.9993  0.9993  0.8259
Ga  0.0000  0.0000  0.5000
Ga  0.3377  0.3377  0.9478
Ga  0.6623  0.6623  0.0522
Ag  0.3296  0.3296  0.2810
Ag  0.6704  0.6704  0.7190

Q: The lowest calculated total energy belongs to which entry?
A: Ba4Pa3BeN8